Compound: Mg2VPO6
Source: Alexandria via LeMat-Bulk
Functional: PBE+U
Structure: optimized geometry

Cell and atoms, written as POSCAR:
```
Mg2VPO6
1.0
4.407 0.000 0.000
0.000 5.038 0.000
0.000 0.000 5.038
Mg V P O
2 1 1 6
direct
0.966 0.500 0.000 Mg
0.966 0.000 0.500 Mg
0.587 0.500 0.500 V
0.609 0.000 0.000 P
0.723 0.227 0.227 O
0.723 0.227 0.773 O
0.166 0.500 0.500 O
0.259 0.000 0.000 O
0.723 0.773 0.773 O
0.723 0.773 0.227 O
```

Results
The calculation puts the final energy at -6.62 eV/atom. The spin magnetization is 2.0 μB/cell. As for the space group: P4mm (99).